[1]
Nd3MgIn2: relaxed, PBE-GGA.

Output
Calculated formation energy in kJ/mol of formula units: -211

Unit cell a=3.8527 b=3.8527 c=11.8152 alpha=90.00 beta=90.00 gamma=90.00
Fractional positions:
Nd  0.0000  0.0000  0.0000
Nd  0.0000  0.0000  0.3361
Nd  0.0000  0.0000  0.6639
Mg  0.5000  0.5000  0.5000
In  0.5000  0.5000  0.1724
In  0.5000  0.5000  0.8276


[2]
Ba2RhF6: relaxed, PBE-GGA.

Output
ΔE_f (raw) in meV/atom: -2826.9

Unit cell a=5.5644 b=5.5644 c=11.8985 alpha=90.00 beta=90.00 gamma=90.00
Fractional positions:
Ba  0.0000  0.0000  0.1631
Ba  0.0000  0.0000  0.8369
Ba  0.5000  0.5000  0.3369
Ba  0.5000  0.5000  0.6631
Rh  0.0000  0.0000  0.5000
Rh  0.5000  0.5000  0.0000
F  0.1754  0.1754  0.3479
F  0.1754  0.1754  0.6521
F  0.2381  0.2381  0.0000
F  0.2619  0.7381  0.5000
F  0.3246  0.6754  0.1521
F  0.3246  0.6754  0.8479
F  0.6754  0.3246  0.1521
F  0.6754  0.3246  0.8479
F  0.7381  0.2619  0.5000
F  0.7619  0.7619  0.0000
F  0.8246  0.8246  0.3479
F  0.8246  0.8246  0.6521


[3]
ZrTc2Sb: relaxed, PBE-GGA.

Output
ΔE_f (raw) in meV/atom: 82.0

Unit cell a=5.3340 b=5.3340 c=3.0441 alpha=104.57 beta=104.57 gamma=111.86
Fractional positions:
Zr  0.0000  0.0000  0.0000
Tc  0.0000  0.5000  0.5000
Tc  0.5000  0.0000  0.5000
Sb  0.5000  0.5000  0.0000


[4]
VRh5W2: relaxed, PBE-GGA.

Output
Calculated formation energy in kJ/mol of formula units: -177

Unit cell a=5.4576 b=10.9354 c=3.8668 alpha=90.00 beta=90.00 gamma=90.00
Fractional positions:
V  0.0000  0.0000  0.0000
V  0.5000  0.5000  0.0000
Rh  0.0000  0.5000  0.0000
Rh  0.0082  0.2468  0.0000
Rh  0.2412  0.8794  0.5000
Rh  0.2588  0.3794  0.5000
Rh  0.4918  0.7468  0.0000
Rh  0.5000  0.0000  0.0000
Rh  0.5082  0.2532  0.0000
Rh  0.7412  0.6206  0.5000
Rh  0.7588  0.1206  0.5000
Rh  0.9918  0.7532  0.0000
W  0.2477  0.6246  0.5000
W  0.2523  0.1246  0.5000
W  0.7477  0.8754  0.5000
W  0.7523  0.3754  0.5000


[5]
MnSbTe2: relaxed, PBE-GGA.

Output
ΔE_f (raw) in meV/atom: 115.8

Unit cell a=5.6048 b=5.6048 c=3.9207 alpha=90.00 beta=90.00 gamma=126.36
Fractional positions:
Mn  0.0000  0.0000  0.0000
Sb  0.5000  0.5000  0.0000
Te  0.1702  0.8298  0.5000
Te  0.8298  0.1702  0.5000


[6]
ErLu2Zn: relaxed, PBE-GGA.

Output
Calculated formation energy in kJ/mol of formula units: -12

Unit cell a=4.6654 b=4.6654 c=4.6689 alpha=90.00 beta=90.00 gamma=90.00
Fractional positions:
Er  0.0000  0.0000  0.0000
Lu  0.0000  0.5000  0.5000
Lu  0.5000  0.0000  0.5000
Zn  0.5000  0.5000  0.0000